The following is a PBE calculation of InNi4Ir after structural relaxation, from Alexandria.

The space group is F-43m (No. 216) and the conventional cell measures 6.7675, 6.7675 and 6.7675 Å, with angles of 90.00, 90.00 and 90.00 degrees. Symmetry generates all atoms from In at (0.0000, 0.0000, 0.0000), Ni at (0.1242, 0.1242, 0.6242) and Ir at (0.2500, 0.2500, 0.2500).

The formation energy is 5.1 kJ/mol of atoms. Its total energy is -137.6 eV per cell. As for the calculated density: 11611 kg/m³. As for the spin magnetization: 1.87 μB per formula unit.

***

The following is a PBE calculation of VI3Cl after structural relaxation, from Alexandria.

The space group is Pm-3m (No. 221) and the conventional cell measures 5.7377, 5.7377 and 5.7377 Å, with angles of 90.00, 90.00 and 90.00 degrees. Symmetry generates all atoms from V at (0.0000, 0.0000, 0.0000), I at (0.0000, 0.5000, 0.5000) and Cl at (0.5000, 0.5000, 0.5000).

The calculation puts the distance to the lowest polymorph of the same formula at 1.351 eV/atom. Its total energy is -11.5 eV per cell. As for the calculated density: 4106 kg/m³. As for the spin magnetization: 3.72 μB per formula unit.

***

The following is a PBE calculation of Ba2CaY after structural relaxation, from Alexandria.

The space group is F-43m (No. 216) and the conventional cell measures 9.0747, 9.0747 and 9.0747 Å, with angles of 90.00, 90.00 and 90.00 degrees. Symmetry generates all atoms from Ba at (0.0000, 0.0000, 0.0000), Ba at (0.2500, 0.2500, 0.2500), Ca at (0.0000, 0.0000, 0.5000) and Y at (0.2500, 0.2500, 0.7500).

The formation energy is 18.5 kJ/mol of atoms. The calculation puts the distance to the lowest polymorph of the same formula at 0.058 eV/atom. Its total energy is -46.2 eV per cell. As for the calculated density: 3588 kg/m³. As for the spin magnetization: 0.00 μB per formula unit.